Entry 1:
PmGa6Co6: relaxed, PBE-GGA.

symmetry	Immm, No. 71
ΔE_f	-308	meV per atom
calculated total energy	-69.6	eV per formula unit
D(E_F)	17.86	states/eV/cell

Unit cell a=5.0611 b=6.4905 c=6.4905 alpha=78.81 beta=67.05 gamma=67.05
Fractional coordinates of all 13 atoms:
Pm  0.0000  0.0000  0.0000
Co  0.5000  0.7586  0.2414
Co  0.0000  0.5000  0.0000
Ga  0.0000  0.6571  0.3429
Ga  0.6882  0.8118  0.8118
Co  0.5000  0.2414  0.7586
Ga  0.6544  0.3456  0.3456
Co  0.5000  0.0000  0.5000
Ga  0.3118  0.1882  0.1882
Ga  0.3456  0.6544  0.6544
Ga  0.0000  0.3429  0.6571
Co  0.5000  0.5000  0.0000
Co  0.0000  0.0000  0.5000

Entry 2:
Pm3Ga2Co4: relaxed, PBE-GGA.

symmetry	C2/m, No. 12
ΔE_f	-308	meV per atom
calculated total energy	-51.5	eV per formula unit
D(E_F)	9.99	states/eV/cell

Unit cell a=4.1072 b=5.4631 c=8.1740 alpha=98.66 beta=90.00 gamma=112.08
Fractional coordinates of all 9 atoms:
Co  0.0759  0.1518  0.6264
Ga  0.6731  0.3462  0.7771
Pm  0.3713  0.7425  0.6262
Co  0.7442  0.4884  0.0799
Co  0.9241  0.8482  0.3736
Pm  0.0000  0.0000  0.0000
Ga  0.3269  0.6538  0.2229
Pm  0.6287  0.2575  0.3738
Co  0.2558  0.5116  0.9200